PrHoGaPt PBE relaxed; calculated formation energy = -3.51 eV/f.u.; E above lowest polymorph = 0.0000 eV per atom
1.0
4.349 0.000 0.000
0.000 1.951 5.703
0.000 -1.951 5.703
Pr Ho Ga Pt
1 1 1 1
Direct
0.000 0.000 0.000 Pr
0.500 0.286 0.286 Ho
0.500 0.581 0.581 Ga
0.000 0.730 0.730 Pt

***

InCu2Ge PBE relaxed; calculated formation energy = 0.55 eV/f.u.
1.0
2.063 1.191 4.774
-2.063 1.191 4.774
0.000 -2.382 4.774
In Cu Ge
1 2 1
Direct
0.000 0.000 0.000 In
0.215 0.215 0.215 Cu
0.430 0.430 0.430 Cu
0.809 0.809 0.809 Ge

***

AcSnPtBr PBE relaxed; E_form (uncorrected) = -1.245 eV/atom
1.0
2.303 1.330 13.968
-2.303 1.330 13.968
0.000 -2.660 13.968
Ac Sn Pt Br
2 2 2 2
Direct
0.083 0.083 0.083 Ac
0.917 0.917 0.917 Ac
0.308 0.308 0.308 Sn
0.692 0.692 0.692 Sn
0.374 0.374 0.374 Pt
0.626 0.626 0.626 Pt
0.206 0.206 0.206 Br
0.794 0.794 0.794 Br

***

| no. | uncorrected energy (eV per atom) |
| --- | --- |
| 1 | -5.483 |
| 2 | -3.751 |
| 3 | -5.201 |